KZrTiS4, optimized geometry, DFT PBE; formation energy from raw total energies = -1.282 eV per atom; final energy = -6.15 eV/atom; ρ = 3.057 g/cm3; space-group type = Imma (74)
1.0
7.8440 0.0000 0.0000
-3.9220 6.4781 -1.0248
0.0000 -4.4073 7.2479
S K Zr Ti
8 2 2 2
Cartesian
3.9220 1.8615 1.7895 S
0.0000 1.8292 1.7698 S
2.3034 -1.0888 1.8199 S
5.5407 -1.0888 1.8199 S
0.0000 0.2093 4.4337 S
1.6187 3.1596 4.4033 S
-1.6186 3.1596 4.4033 S
3.9220 0.2417 4.4534 S
3.9220 3.9267 -0.0942 K
0.0000 -1.8559 6.3174 K
3.9220 0.0000 0.0000 Zr
3.9220 -2.2037 3.6240 Zr
1.9610 1.0354 3.1116 Ti
-1.9610 1.0354 3.1116 Ti